Below is an optimized crystal structure of RbH2IO4, with properties calculated at the PBE level.

Geometry as extended XYZ:
```
16
Lattice="4.914 0.000 0.000 0.000 6.882 0.000 0.000 0.000 7.817" Properties=species:S:1:pos:R:3 pbc="T T T"
Rb 0.000 0.000 0.000
Rb 2.457 3.441 3.909
H 0.000 3.441 1.248
H 0.000 3.441 6.569
H 2.457 0.000 2.661
H 2.457 0.000 5.157
I 0.000 0.000 3.909
I 2.457 3.441 0.000
O 1.085 2.908 6.468
O 1.085 3.974 1.349
O 1.372 0.533 2.559
O 1.372 6.349 5.258
O 3.542 0.533 5.258
O 3.542 6.349 2.559
O 3.829 2.908 1.349
O 3.829 3.974 6.468
```

density	3.497	g/cm³
SG	I222
E	-4.272	eV per atom

Below is an optimized crystal structure of Re2HIO, with properties calculated at the PBE level.

Geometry as extended XYZ:
```
5
Lattice="3.627 0.000 0.000 0.000 3.627 0.000 0.000 0.000 5.923" Properties=species:S:1:pos:R:3 pbc="T T T"
Re 0.000 1.813 0.000
Re 1.813 0.000 0.000
H 0.000 0.000 0.000
I 0.000 0.000 2.962
O 1.813 1.813 2.962
```

density	11.004	g/cm³
SG	P4/mmm
E	-5.512	eV per atom

Below is an optimized crystal structure of ReHIO2, with properties calculated at the PBE level.

Geometry as extended XYZ:
```
5
Lattice="3.761 0.000 0.000 0.000 3.761 0.000 0.000 0.000 5.810" Properties=species:S:1:pos:R:3 pbc="T T T"
Re 0.000 0.000 0.000
H 1.881 1.881 2.905
I 0.000 0.000 2.905
O 0.000 1.881 0.000
O 1.881 0.000 0.000
```

density	6.993	g/cm³
SG	P4/mmm
excess energy over the best structure of this formula in the dataset	0	meV/atom

Below is an optimized crystal structure of ReHIO2, with properties calculated at the PBE level.

Geometry as extended XYZ:
```
5
Lattice="4.113 0.000 0.000 0.000 4.113 0.000 0.000 0.000 3.397" Properties=species:S:1:pos:R:3 pbc="T T T"
Re 0.000 0.000 0.000
H 2.057 2.057 1.699
I 2.057 2.057 0.000
O 0.000 2.057 1.699
O 2.057 0.000 1.699
```

density	10.000	g/cm³
SG	P4/mmm
excess energy over the best structure of this formula in the dataset	1707	meV/atom

Which formula does entry 2 have?
Re2HIO